Entry from Alexandria: a geometry-optimized Mg2VPd structure (PBE-GGA).

POSCAR file:
```
Mg2VPd
1.0
0.0000 3.2540 3.2540
3.2540 0.0000 3.2540
3.2540 3.2540 0.0000
Mg V Pd
2 1 1
direct
0.2500 0.2500 0.2500 Mg
0.7500 0.7500 0.7500 Mg
0.0000 0.0000 0.0000 V
0.5000 0.5000 0.5000 Pd
```

Calculated values
Symmetry: Fm-3m, No. 225
V: 68.9 Å³/cell
E_tot: -17.65 eV per cell